Entry 1:
VASP calculation (PBE-GGA) on crystalline BaMnBePt2 at its relaxed geometry.

- Formation energy: -0.09 eV per atom
- Magnetization: 3.68 μB/cell

```
BaMnBePt2
1.0
4.593 0.000 0.000
0.000 4.593 0.000
0.000 0.000 4.573
Ba Mn Be Pt
1 1 1 2
Cartesian
0.000 0.000 0.000
2.296 2.296 0.000
2.296 2.296 2.286
0.000 2.296 2.286
2.296 0.000 2.286
```



Entry 2:
VASP calculation (PBE-GGA) on crystalline Ba2ScMnBe at its relaxed geometry.

- Formation energy: 1.26 eV per atom
- Magnetization: 0.33 μB/cell

```
Ba2ScMnBe
1.0
5.920 0.000 0.000
0.000 5.920 0.000
0.000 0.000 5.050
Ba Sc Mn Be
2 1 1 1
Cartesian
0.000 2.960 0.000
2.960 0.000 0.000
0.000 0.000 2.525
2.960 2.960 2.525
0.000 0.000 0.000
```